A relaxed Ho7Tm2Mg crystal, computed with PBE.

Results
Energy of formation from the pure elements   15.7 kcal/mol of atoms
Density of states at the Fermi level   12.1 states/eV per cell
ρ   6.7 g/cm3

Cell: 5.3472 9.1633 9.1633 Å, 123.73 90.00 90.00°
Element x y z (fractional)
Tm 0.5000 0.2943 0.7057
Ho 0.5000 0.9306 0.7135
Ho 0.5000 0.7135 0.9306
Ho 0.0000 0.7963 0.2037
Ho 0.0000 0.2037 0.7963
Mg 0.0000 0.0000 0.0000
Ho 0.5000 0.2865 0.0694
Ho 0.5000 0.0694 0.2865
Tm 0.5000 0.7057 0.2943
Ho 0.5000 0.5000 0.5000